1.
Entry from the Alexandria database: a geometry-optimized RuSe3 structure (PBE).

The value obtained for the energy above the most stable polymorph in this dataset is 65 meV/atom. The final energy comes out at -4.9357 eV/atom. For the uncorrected formation energy, the calculation gives -3 meV/atom.

The space group is Pnma (No. 62) and the conventional cell measures 5.786, 10.842 and 5.743 Å, with angles of 90.00, 90.00 and 90.00 degrees. The inequivalent atoms are Ru at (0.079, 0.250, 0.044), Se at (0.042, 0.750, 0.355) and Se at (0.247, 0.609, 0.843).

***

2.
Entry from the Alexandria database: a geometry-optimized Ru3Se5 structure (PBE).

The final energy comes out at -5.3267 eV/atom. For the uncorrected formation energy, the calculation gives 330 meV/atom.

The space group is Cmmm (No. 65) and the conventional cell measures 6.682, 10.288 and 4.179 Å, with angles of 90.00, 90.00 and 90.00 degrees. The inequivalent atoms are Ru at (0.000, 0.000, 0.000), Ru at (0.000, 0.190, 0.500), Se at (0.000, 0.500, 0.000), Se at (0.220, 0.000, 0.500) and Se at (0.250, 0.250, 0.000).

***

3.
Entry from the Alexandria database: a geometry-optimized RuSe2 structure (PBE).

The final energy comes out at -5.5359 eV/atom. For the uncorrected formation energy, the calculation gives -121 meV/atom.

The space group is Cm (No. 8) and the conventional cell measures 13.430, 3.419 and 7.563 Å, with angles of 90.00, 118.33 and 90.00 degrees. The inequivalent atoms are Ru at (0.000, 0.000, 0.000), Ru at (0.142, 0.500, 0.364), Se at (0.149, 0.500, 0.055), Se at (0.190, 0.000, 0.618), Se at (0.403, 0.000, 0.732) and Se at (0.443, 0.000, 0.176).

***

4.
Entry from the Alexandria database: a geometry-optimized RuSe3 structure (PBE).

The value obtained for the energy above the most stable polymorph in this dataset is 337 meV/atom. The final energy comes out at -4.6642 eV/atom. For the uncorrected formation energy, the calculation gives 268 meV/atom.

The space group is Im-3m (No. 229) and the conventional cell measures 5.303, 5.303 and 5.303 Å, with angles of 90.00, 90.00 and 90.00 degrees. The inequivalent atoms are Ru at (0.000, 0.000, 0.000) and Se at (0.000, 0.000, 0.500).

***

5.
Entry from the Alexandria database: a geometry-optimized RuSe2 structure (PBE).

The final energy comes out at -4.4759 eV/atom. For the uncorrected formation energy, the calculation gives 939 meV/atom.

The space group is P6/mmm (No. 191) and the conventional cell measures 4.6365, 4.6365 and 2.8939 Å, with angles of 90.00, 90.00 and 120.00 degrees. The inequivalent atoms are Ru at (0.0000, 0.0000, 0.0000) and Se at (0.3333, 0.6667, 0.5000).

***

6.
Entry from the Alexandria database: a geometry-optimized RuSe2 structure (PBE).

The final energy comes out at -5.5904 eV/atom. For the uncorrected formation energy, the calculation gives -175 meV/atom.

The space group is Cmcm (No. 63) and the conventional cell measures 3.668, 13.927 and 4.845 Å, with angles of 90.00, 90.00 and 90.00 degrees. The inequivalent atoms are Ru at (0.000, 0.160, 0.250), Se at (0.000, 0.208, 0.750) and Se at (0.000, 0.452, 0.750).